Entry 1:
The following is a DFT calculation (PBE) of a geometry-optimized Sm8Al2Zn structure.

a b c (Å): 8.8084 8.8084 8.8084
angles (deg): 146.43 121.77 68.92
Atoms (fractional coordinates):
Sm (0.1215, 0.3418, 0.7797)
Sm (0.1390, 0.1390, 0.0000)
Sm (0.3214, 0.0000, 0.3214)
Sm (0.4379, 0.6582, 0.7797)
Sm (0.5621, 0.3418, 0.2203)
Sm (0.6786, 0.0000, 0.6786)
Sm (0.8610, 0.8610, 0.0000)
Sm (0.8785, 0.6582, 0.2203)
Al (0.3044, 0.8044, 0.5000)
Al (0.6956, 0.1956, 0.5000)
Zn (0.0000, 0.5000, 0.5000)

- excess energy over the best structure of this formula in the dataset (meV per atom) = 52

=====

Entry 2:
The following is a DFT calculation (PBE) of a geometry-optimized SmAl3Zn structure.

a b c (Å): 4.2022 4.2022 6.2739
angles (deg): 109.42 109.42 89.94
Atoms (fractional coordinates):
Sm (0.0000, 0.0000, 0.0000)
Al (0.2445, 0.7471, 0.4919)
Al (0.3924, 0.3924, 0.7844)
Al (0.7471, 0.2445, 0.4919)
Zn (0.6115, 0.6115, 0.2239)

=====

Entry 3:
The following is a DFT calculation (PBE) of a geometry-optimized SmAl7Zn5 structure.

a b c (Å): 7.0439 7.0439 7.0439
angles (deg): 136.93 97.49 98.00
Atoms (fractional coordinates):
Sm (0.0000, 0.0000, 0.0000)
Al (0.2121, 0.7121, 0.5000)
Al (0.2139, 0.4962, 0.7178)
Al (0.3498, 0.9942, 0.3556)
Al (0.3523, 0.3523, 0.0000)
Al (0.6386, 0.9942, 0.6444)
Al (0.6400, 0.6400, 0.0000)
Al (0.7784, 0.4962, 0.2822)
Zn (0.4987, 0.4956, 0.5026)
Zn (0.4987, 0.9961, 0.0031)
Zn (0.7803, 0.2803, 0.5000)
Zn (0.9930, 0.4956, 0.9969)
Zn (0.9930, 0.9961, 0.4974)

=====

Entry 4:
The following is a DFT calculation (PBE) of a geometry-optimized Sm5AlZn2 structure.

a b c (Å): 9.3795 9.3795 9.3795
angles (deg): 132.30 132.30 69.75
Atoms (fractional coordinates):
Sm (0.0000, 0.0000, 0.0000)
Sm (0.0180, 0.5180, 0.8372)
Sm (0.1808, 0.0180, 0.5000)
Sm (0.3192, 0.8192, 0.8372)
Sm (0.4820, 0.3192, 0.5000)
Sm (0.5000, 0.5000, 0.0000)
Sm (0.5180, 0.6808, 0.5000)
Sm (0.6808, 0.1808, 0.1628)
Sm (0.8192, 0.9820, 0.5000)
Sm (0.9820, 0.4820, 0.1628)
Al (0.2500, 0.2500, 0.0000)
Al (0.7500, 0.7500, 0.0000)
Zn (0.1194, 0.3806, 0.5000)
Zn (0.3806, 0.8806, 0.2612)
Zn (0.6194, 0.1194, 0.7388)
Zn (0.8806, 0.6194, 0.5000)

=====

Entry 5:
The following is a DFT calculation (PBE) of a geometry-optimized Sm2AlZn3 structure.

a b c (Å): 9.0267 8.6402 5.8451
angles (deg): 74.30 67.14 38.56
Atoms (fractional coordinates):
Sm (0.2406, 0.7594, 0.7594)
Sm (0.2500, 0.2500, 0.2500)
Sm (0.7500, 0.7500, 0.7500)
Sm (0.7594, 0.2406, 0.2406)
Al (0.3350, 0.3350, 0.6650)
Al (0.6650, 0.6650, 0.3350)
Zn (0.1673, 0.1673, 0.8327)
Zn (0.1692, 0.6651, 0.3349)
Zn (0.3349, 0.8308, 0.1692)
Zn (0.6651, 0.1692, 0.8308)
Zn (0.8308, 0.3349, 0.6651)
Zn (0.8327, 0.8327, 0.1673)

- excess energy over the best structure of this formula in the dataset (meV per atom) = 0

=====

Entry 6:
The following is a DFT calculation (PBE) of a geometry-optimized Sm8Al2Zn structure.

a b c (Å): 9.6881 9.6881 6.8193
angles (deg): 103.34 103.34 31.05
Atoms (fractional coordinates):
Sm (0.0191, 0.0191, 0.2720)
Sm (0.2054, 0.2054, 0.7969)
Sm (0.3432, 0.3432, 0.5326)
Sm (0.4054, 0.4054, 0.0357)
Sm (0.5946, 0.5946, 0.9643)
Sm (0.6568, 0.6568, 0.4674)
Sm (0.7946, 0.7946, 0.2031)
Sm (0.9809, 0.9809, 0.7280)
Al (0.1858, 0.1858, 0.2399)
Al (0.8142, 0.8142, 0.7601)
Zn (0.5000, 0.5000, 0.5000)

- excess energy over the best structure of this formula in the dataset (meV per atom) = 0

=====

Number 1: D(E_F) 12.9 states/eV/cell, volume 28.79 A^3/atom, formation enthalpy at 0 K -1.19 eV per formula unit. Number 2: D(E_F) 2.0 states/eV/cell, volume 19.56 A^3/atom, formation enthalpy at 0 K -1.88 eV per formula unit. Number 3: D(E_F) 5.1 states/eV/cell, volume 17.08 A^3/atom, formation enthalpy at 0 K -1.36 eV per formula unit. Number 4: D(E_F) 16.0 states/eV/cell, volume 27.67 A^3/atom, formation enthalpy at 0 K -1.72 eV per formula unit. Number 5: D(E_F) 10.3 states/eV/cell, volume 21.78 A^3/atom, formation enthalpy at 0 K -2.37 eV per formula unit. Number 6: D(E_F) 11.0 states/eV/cell, volume 29.14 A^3/atom, formation enthalpy at 0 K -1.76 eV per formula unit.